DFT (PBE-GGA) results for an optimized crystal structure of Fe8Au.

Calculated values
DFT total energy, eV per atom: -7.68
Formation energy from the elements, eV/atom: 0.211

Lattice parameters (Å, degrees): 5.687 5.687 5.687 95.83 95.83 142.84
Last column: magnetic moment on the atom in μB.
Sites, in units of the cell vectors:
Au 0.000 0.000 0.000  0.00
Fe 0.679 0.321 0.000  1.85
Fe 0.321 0.321 0.642  1.85
Fe 0.679 0.679 0.358  1.85
Fe 0.348 0.000 0.348  -1.38
Fe 0.000 0.348 0.348  -1.38
Fe 0.652 0.000 0.652  -1.38
Fe 0.321 0.679 0.000  1.85
Fe 0.000 0.652 0.652  -1.38